The following is a PBE calculation of crystalline AcLa2Si2Ag2 at its relaxed geometry, from Alexandria.

Results
**ΔE_f (raw)**: -413 meV/atom

Lattice parameters (Å, degrees): 4.5529 4.5529 10.1943 77.10 77.10 60.00
Fractional positions:
Ag1 0.5927 0.5927 0.2218
Si1 0.2561 0.2561 0.2318
Si2 0.7439 0.7439 0.7682
La1 0.1353 0.1353 0.5942
Ac1 0.0000 0.0000 0.0000
Ag2 0.4073 0.4073 0.7782
La2 0.8647 0.8647 0.4058